VASP calculation (PBE) on Al7Ag5 after structural relaxation.

Values from the calculation:
As for the total energy: -3.3751 eV per atom. Its crystal system is monoclinic.

extended XYZ file:
```
12
Lattice="-2.255 -1.900 5.055 -4.496 -3.501 -5.058 2.887 -3.607 -3.179" Properties=species:S:1:pos:R:3 pbc="T T T"
Al -2.521 -3.035 1.154
Al -0.809 -3.683 3.445
Al 1.748 -4.533 -0.699
Ag -2.870 -4.260 -2.719
Ag 0.050 -3.888 -2.963
Al -3.903 -5.144 -0.171
Ag -1.077 -4.838 -0.435
Al -1.346 -5.994 -4.315
Al 0.299 -2.722 0.897
Al -2.453 -6.955 -1.767
Ag -1.393 -2.085 -1.373
Ag -3.782 -8.918 -3.209
```

***

VASP calculation (PBE) on Al3Ag after structural relaxation.

Values from the calculation:
As for the total energy: -3.5107 eV per atom. Its crystal system is monoclinic.

extended XYZ file:
```
4
Lattice="-0.179 3.191 -2.539 -1.984 -1.320 -1.519 -6.139 1.109 1.827" Properties=species:S:1:pos:R:3 pbc="T T T"
Al -4.062 -0.106 0.154
Ag 0.000 0.000 0.000
Al -2.147 1.561 -1.167
Al -6.156 1.418 -1.063
```

***

VASP calculation (PBE) on AlAg after structural relaxation.

Values from the calculation:
As for the total energy: -3.3046 eV per atom. Its crystal system is tetragonal.

extended XYZ file:
```
8
Lattice="-0.587 0.067 4.011 -3.834 -7.450 -2.485 3.864 -1.080 0.583" Properties=species:S:1:pos:R:3 pbc="T T T"
Al 0.541 -4.485 2.203
Ag 0.000 0.000 0.000
Ag -1.903 -5.800 1.868
Al -1.098 -3.978 -0.094
Ag -0.879 -2.089 1.955
Al 1.390 -2.506 0.245
Al 0.279 -6.530 0.150
Ag 1.639 -0.506 2.297
```

***

VASP calculation (PBE) on Al5Ag3 after structural relaxation.

Values from the calculation:
As for the total energy: -3.3941 eV per atom. Its crystal system is tetragonal.

extended XYZ file:
```
8
Lattice="4.050 0.000 0.000 -2.025 8.528 0.005 0.000 -0.964 3.933" Properties=species:S:1:pos:R:3 pbc="T T T"
Al 2.025 3.530 2.950
Ag 0.000 0.000 0.000
Al 0.000 5.544 3.443
Ag 2.025 2.019 0.495
Ag 2.025 6.026 1.477
Al 0.000 4.034 0.988
Al 0.000 1.538 2.462
Al 2.025 -0.482 1.967
```

***

VASP calculation (PBE) on Al3Ag5 after structural relaxation.

Values from the calculation:
As for the total energy: -3.2151 eV per atom. Its crystal system is tetragonal.

extended XYZ file:
```
8
Lattice="-2.343 -2.911 1.807 7.886 -2.967 0.678 -0.462 2.438 3.328" Properties=species:S:1:pos:R:3 pbc="T T T"
Al 4.623 -1.179 4.094
Ag 4.999 -3.399 5.772
Al 1.799 -1.818 4.170
Ag 6.394 -3.159 3.200
Al 3.683 -3.854 3.333
Ag 0.495 -2.279 1.738
Ag 1.436 0.395 2.498
Ag 3.384 -1.672 1.694
```

***

VASP calculation (PBE) on AlAg after structural relaxation.

Values from the calculation:
As for the total energy: -3.3349 eV per atom. Its crystal system is tetragonal.

extended XYZ file:
```
4
Lattice="3.510 0.000 0.000 0.000 3.510 0.000 0.000 0.000 5.543" Properties=species:S:1:pos:R:3 pbc="T T T"
Al 0.000 0.000 2.701
Al 1.755 1.755 4.228
Ag 0.000 0.000 5.438
Ag 1.755 1.755 1.491
```

***

VASP calculation (PBE) on AlAg2 after structural relaxation.

Values from the calculation:
As for the total energy: -3.1725 eV per atom. Its crystal system is orthorhombic.

extended XYZ file:
```
6
Lattice="-0.475 -2.966 -0.302 7.672 -0.800 -4.207 1.789 -0.631 3.383" Properties=species:S:1:pos:R:3 pbc="T T T"
Ag 2.626 -0.274 -1.440
Ag 7.604 -0.793 -4.170
Al 7.078 -2.468 -1.980
Ag 5.115 -0.533 -2.805
Ag 1.936 -1.932 0.839
Al 4.467 -2.196 -0.548
```

***

VASP calculation (PBE) on AlAg after structural relaxation.

Values from the calculation:
As for the total energy: -3.3019 eV per atom. Its crystal system is monoclinic.

extended XYZ file:
```
4
Lattice="4.041 -0.051 -0.013 -0.037 4.041 -0.013 -2.017 -2.010 4.184" Properties=species:S:1:pos:R:3 pbc="T T T"
Ag -0.031 4.035 -0.013
Al 2.007 1.990 -0.013
Al 2.008 -0.028 2.079
Ag -0.032 2.020 2.079
```

***

VASP calculation (PBE) on AlAg after structural relaxation.

Values from the calculation:
As for the total energy: -3.3070 eV per atom. Its crystal system is orthorhombic.

extended XYZ file:
```
8
Lattice="-2.747 -0.603 -1.277 4.236 -9.368 -4.688 -1.025 -2.053 3.176" Properties=species:S:1:pos:R:3 pbc="T T T"
Al 1.809 -9.499 -3.139
Al 3.173 -7.018 -3.512
Ag 1.093 -2.418 -1.210
Al -0.303 -4.829 -0.802
Ag 2.166 -4.791 -2.398
Ag 4.175 -9.234 -4.621
Al 0.773 -7.208 -1.993
Ag -1.369 -2.473 0.377
```

***

VASP calculation (PBE) on Al5Ag3 after structural relaxation.

Values from the calculation:
As for the total energy: -3.4033 eV per atom. Its crystal system is triclinic.

extended XYZ file:
```
8
Lattice="4.040 -0.029 -0.006 -2.054 7.307 -0.052 -2.031 0.580 4.626" Properties=species:S:1:pos:R:3 pbc="T T T"
Ag -2.042 3.973 2.370
Al -0.031 5.612 1.083
Al -2.063 6.731 2.790
Ag -0.052 7.815 4.495
Ag 2.014 1.113 1.699
Al -0.013 2.826 0.605
Al -0.021 5.052 4.019
Al -0.016 2.252 3.496
```

***

VASP calculation (PBE) on Al3Ag5 after structural relaxation.

Values from the calculation:
As for the total energy: -3.2307 eV per atom. Its crystal system is orthorhombic.

extended XYZ file:
```
8
Lattice="3.989 0.000 0.000 0.000 5.783 0.000 0.000 2.891 5.880" Properties=species:S:1:pos:R:3 pbc="T T T"
Ag 1.995 1.400 1.519
Al 0.000 5.758 2.915
Ag 0.000 2.846 2.967
Ag 0.000 8.628 5.852
Al 0.000 2.866 0.025
Al 1.995 7.291 4.410
Ag 1.995 4.508 4.410
Ag 1.995 4.291 1.421
```

***

VASP calculation (PBE) on AlAg8 after structural relaxation.

Values from the calculation:
As for the total energy: -2.9421 eV per atom. Its crystal system is tetragonal.

extended XYZ file:
```
9
Lattice="3.413 0.000 0.000 1.706 6.830 0.000 1.706 0.000 6.830" Properties=species:S:1:pos:R:3 pbc="T T T"
Ag 3.413 4.633 0.000
Ag 3.413 4.550 4.550
Ag 1.706 2.280 4.550
Ag 3.413 2.280 2.280
Ag 1.706 2.197 0.000
Ag 1.706 0.000 2.197
Ag 3.413 0.000 4.633
Al 0.000 0.000 0.000
Ag 1.706 4.550 2.280
```

***

VASP calculation (PBE) on Al3Ag after structural relaxation.

Values from the calculation:
As for the total energy: -3.4332 eV per atom. Its crystal system is hexagonal.

extended XYZ file:
```
8
Lattice="2.808 -4.864 0.000 2.808 4.864 0.000 0.000 0.000 5.035" Properties=species:S:1:pos:R:3 pbc="T T T"
Al 2.808 -3.268 1.259
Al 1.382 -0.798 1.259
Al 4.234 -0.798 1.259
Ag 2.808 -1.621 3.776
Al 4.234 0.798 3.776
Al 2.808 3.268 3.776
Ag 2.808 1.621 1.259
Al 1.382 0.798 3.776
```

***

VASP calculation (PBE) on Al7Ag5 after structural relaxation.

Values from the calculation:
As for the total energy: -3.4002 eV per atom. Its crystal system is monoclinic.

extended XYZ file:
```
12
Lattice="3.934 0.000 0.000 0.000 8.942 0.054 0.000 -2.169 5.774" Properties=species:S:1:pos:R:3 pbc="T T T"
Ag 0.000 6.663 5.796
Ag 1.967 -0.266 4.838
Al 0.000 5.175 1.995
Al 0.000 4.127 4.785
Al 1.967 6.036 3.899
Ag 1.967 4.600 0.068
Al 1.967 3.407 2.926
Al 1.967 7.126 1.034
Ag 1.967 0.861 1.965
Al 0.000 2.592 0.958
Al 0.000 1.498 3.860
Ag 0.000 7.761 2.899
```

***

VASP calculation (PBE) on Al5Ag3 after structural relaxation.

Values from the calculation:
As for the total energy: -3.3971 eV per atom. Its crystal system is tetragonal.

extended XYZ file:
```
8
Lattice="-1.795 1.273 3.407 -6.401 -5.042 -1.487 1.845 -2.955 2.076" Properties=species:S:1:pos:R:3 pbc="T T T"
Al 0.012 -0.852 2.739
Al -3.878 -5.259 -0.077
Ag -0.678 -2.738 0.666
Al -5.698 -3.145 0.588
Ag -6.353 -5.004 -1.476
Al -2.498 -0.624 1.332
Al -3.187 -2.510 -0.740
Ag -3.223 -3.400 1.987
```

***

VASP calculation (PBE) on Al2Ag5 after structural relaxation.

Values from the calculation:
As for the total energy: -3.1499 eV per atom. Its crystal system is triclinic.

extended XYZ file:
```
7
Lattice="4.204 0.000 -0.011 0.004 6.612 -0.068 -2.114 -0.855 4.330" Properties=species:S:1:pos:R:3 pbc="T T T"
Ag 2.095 0.597 1.852
Al -0.008 5.249 2.433
Ag 2.103 4.601 0.564
Ag 0.003 2.703 1.237
Ag -0.007 1.138 3.674
Al 2.100 3.098 3.025
Ag 2.089 5.644 4.221
```

***

VASP calculation (PBE) on Al2Ag5 after structural relaxation.

Values from the calculation:
As for the total energy: -3.1540 eV per atom. Its crystal system is monoclinic.

extended XYZ file:
```
14
Lattice="5.097 0.000 0.000 0.000 7.363 0.320 -2.548 -0.750 6.381" Properties=species:S:1:pos:R:3 pbc="T T T"
Ag 3.364 2.040 2.860
Al -0.873 2.276 5.522
Ag -1.668 -0.239 4.693
Al 3.422 4.337 1.178
Ag 0.880 3.170 1.848
Al 1.675 0.656 1.018
Ag 4.123 1.841 0.080
Ag 1.668 3.443 4.853
Ag 0.815 0.892 3.681
Al 0.873 5.957 5.682
Ag 0.974 5.522 0.240
Ag 1.733 5.721 3.020
Ag 4.217 6.851 2.008
Ag -0.815 4.573 3.841
```

***

VASP calculation (PBE) on Al3Ag after structural relaxation.

Values from the calculation:
As for the total energy: -3.5110 eV per atom. Its crystal system is orthorhombic.

extended XYZ file:
```
8
Lattice="-1.675 -3.264 -1.849 -3.194 -2.276 6.909 -3.385 2.211 -0.837" Properties=species:S:1:pos:R:3 pbc="T T T"
Al -1.607 -1.145 3.476
Ag -3.181 -2.266 6.880
Al -4.141 -1.674 2.142
Ag -1.649 -2.210 0.832
Al -3.223 -3.332 4.236
Al -4.074 -0.591 4.733
Al -5.718 -2.798 5.554
Al -2.497 0.532 1.322
```

***

VASP calculation (PBE) on Al3Ag5 after structural relaxation.

Values from the calculation:
As for the total energy: -3.2147 eV per atom. Its crystal system is orthorhombic.

extended XYZ file:
```
8
Lattice="-0.464 -4.062 -0.416 4.486 0.195 -6.905 3.334 -0.601 2.149" Properties=species:S:1:pos:R:3 pbc="T T T"
Al 3.678 -2.234 -2.587
Al 5.039 -0.154 -4.117
Ag 0.926 -1.981 -1.990
Al 2.781 -0.252 -0.640
Ag 3.096 -1.886 -5.331
Ag 1.435 -2.332 0.866
Ag 0.000 0.000 0.000
Ag 2.243 0.098 -3.453
```

***

VASP calculation (PBE) on Al3Ag after structural relaxation.

Values from the calculation:
As for the total energy: -2.7765 eV per atom. Its crystal system is cubic.

extended XYZ file:
```
4
Lattice="-1.923 -4.526 -0.385 2.840 -1.525 3.734 -3.545 1.234 3.200" Properties=species:S:1:pos:R:3 pbc="T T T"
Al 1.420 -0.762 1.867
Al -0.962 -2.263 -0.192
Al -1.772 0.617 1.600
Ag 0.000 0.000 0.000
```

***

VASP calculation (PBE) on Al7Ag6 after structural relaxation.

Values from the calculation:
As for the total energy: -3.2303 eV per atom. Its crystal system is trigonal.

extended XYZ file:
```
13
Lattice="9.498 -0.089 -0.054 7.987 5.141 -0.054 7.987 2.307 4.594" Properties=species:S:1:pos:R:3 pbc="T T T"
Al 10.915 3.153 0.319
Al 14.557 5.630 1.829
Al 14.557 4.205 4.166
Ag 24.059 6.950 4.236
Ag 1.414 0.408 0.249
Ag 16.971 4.903 2.988
Ag 8.501 2.456 1.497
Ag 21.336 6.163 3.757
Al 12.736 3.679 2.242
Al 10.915 1.729 2.656
Ag 4.137 1.195 0.728
Al 15.317 3.000 1.829
Al 10.156 4.358 2.656
```

***

VASP calculation (PBE) on Al3Ag2 after structural relaxation.

Values from the calculation:
As for the total energy: -3.4080 eV per atom. Its crystal system is monoclinic.

extended XYZ file:
```
10
Lattice="2.938 0.000 0.000 0.000 9.162 0.076 -1.469 -1.056 6.296" Properties=species:S:1:pos:R:3 pbc="T T T"
Al 1.469 7.139 1.353
Al 1.469 3.011 3.774
Ag 0.000 1.037 5.050
Al 1.469 5.554 5.123
Ag 1.469 8.003 6.342
Al 0.000 5.069 2.580
Ag 1.469 4.646 0.088
Al 0.000 7.632 3.854
Ag 1.469 0.511 2.516
Al 0.000 2.507 1.216
```

***

VASP calculation (PBE) on Al3Ag after structural relaxation.

Values from the calculation:
As for the total energy: -3.5335 eV per atom. Its crystal system is monoclinic.

extended XYZ file:
```
4
Lattice="2.889 0.000 0.000 -1.445 9.336 0.064 1.445 -0.224 2.491" Properties=species:S:1:pos:R:3 pbc="T T T"
Al 2.889 2.154 1.885
Al 0.000 6.959 0.670
Ag 0.000 0.000 0.000
Al 1.445 4.556 1.278
```

***

VASP calculation (PBE) on Al5Ag2 after structural relaxation.

Values from the calculation:
As for the total energy: -3.5138 eV per atom. Its crystal system is trigonal.

extended XYZ file:
```
7
Lattice="-2.842 0.685 0.185 -2.366 -15.730 -1.340 -1.281 0.242 2.624" Properties=species:S:1:pos:R:3 pbc="T T T"
Al -4.046 -10.707 0.647
Ag -0.008 -0.031 -0.001
Al -3.285 -1.592 1.814
Al -3.215 -13.254 -0.347
Al -2.442 -4.091 0.821
Al -4.878 -8.159 1.642
Ag -1.595 -6.578 -0.172
```

***

VASP calculation (PBE) on Al5Ag3 after structural relaxation.

Values from the calculation:
As for the total energy: -3.3964 eV per atom. Its crystal system is orthorhombic.

extended XYZ file:
```
8
Lattice="4.067 0.000 0.000 -2.033 8.492 -0.005 0.000 -0.965 3.937" Properties=species:S:1:pos:R:3 pbc="T T T"
Al 2.034 -0.447 1.977
Al 0.000 1.520 2.459
Al 2.034 3.487 2.942
Ag 2.034 2.002 0.491
Ag 2.034 7.457 3.915
Al 0.000 5.512 3.438
Al 2.034 6.019 1.476
Ag 0.000 4.075 0.999
```